# YCr2BiO8

A relaxed structure of YCr2BiO8 (PBE with a Hubbard U, Alexandria).

Calculated values
Symmetry   No. 119
Final energy   -7.2147 eV/atom

Cell and atoms, written as POSCAR:
```
YCr2BiO8
1.0
6.079 -0.021 0.000
-2.715 5.439 0.000
-1.682 -2.709 5.175
Y Cr Bi O
1 2 1 8
direct
0.250 0.750 0.500
0.750 0.250 0.500
0.500 0.500 0.000
0.000 0.000 0.000
0.395 0.074 0.321
0.331 0.515 0.185
0.331 0.146 0.815
0.753 0.074 0.679
0.854 0.669 0.185
0.926 0.247 0.321
0.926 0.605 0.679
0.485 0.669 0.815
```